1.
Computed, not measured: a relaxed Ca5Pt2 crystal at the GGA-PBEsol level of DFT.

The structure in extended XYZ format:
```
14
Lattice="-2.918 -5.820 0.679 -0.666 -0.542 -7.507 8.581 -0.583 0.335" Properties=species:S:1:pos:R:3 pbc="T T T"
Pt 5.553 -1.980 -6.504
Ca 1.661 -4.142 -1.833
Ca -2.179 -3.756 -5.239
Ca 4.133 -1.605 -1.015
Pt -0.556 -4.964 0.010
Ca 4.667 -5.180 0.209
Ca -1.607 -6.022 -2.421
Ca -1.405 -2.605 -1.589
Ca 0.864 -5.339 -5.479
Ca 0.330 -1.764 -6.702
Pt 0.350 -2.764 -4.031
Ca 3.336 -2.802 -4.660
Ca 6.605 -0.923 -4.073
Pt 4.647 -4.180 -2.462
```

* space group: C2/c
* M_tot: 0.0 Bohr magnetons per cell
* ΔH_f (0 K): -0.6600 eV per atom
* crystal system: monoclinic

2.
Computed, not measured: a relaxed RbTcBi2 crystal at the GGA-PBEsol level of DFT.

The structure in extended XYZ format:
```
4
Lattice="-1.852 -2.630 -4.023 -1.210 -4.980 0.516 -4.936 -1.471 -0.063" Properties=species:S:1:pos:R:3 pbc="T T T"
Bi -5.998 -6.811 -2.678
Rb 0.000 0.000 0.000
Bi -1.999 -2.270 -0.893
Tc -3.999 -4.541 -1.785
```

* space group: Fm-3m
* M_tot: 0.0 Bohr magnetons per cell
* ΔH_f (0 K): 0.7045 eV per atom
* crystal system: cubic

3.
Computed, not measured: a relaxed LiCuMo2 crystal at the GGA-PBEsol level of DFT.

The structure in extended XYZ format:
```
4
Lattice="-1.913 -1.412 -0.812 2.315 -1.080 -3.574 2.616 -3.335 2.703" Properties=species:S:1:pos:R:3 pbc="T T T"
Mo 0.644 -0.847 0.673
Li 1.509 -2.914 -0.842
Mo 0.059 -3.900 1.217
Cu 0.201 -1.246 -2.193
```

* space group: P2/m
* M_tot: 0.0 Bohr magnetons per cell
* ΔH_f (0 K): 0.3402 eV per atom
* crystal system: monoclinic

4.
Computed, not measured: a relaxed Mg3Sc crystal at the GGA-PBEsol level of DFT.

The structure in extended XYZ format:
```
8
Lattice="4.530 0.000 0.000 0.000 4.530 0.000 -2.265 -2.265 8.778" Properties=species:S:1:pos:R:3 pbc="T T T"
Sc 2.265 2.265 2.180
Mg 2.265 0.000 0.000
Mg 0.000 2.265 4.389
Sc 0.000 0.000 6.599
Mg 2.265 2.265 6.517
Mg 0.000 2.265 0.000
Mg 2.265 0.000 4.389
Mg 0.000 0.000 2.261
```

* space group: I4/mmm
* M_tot: 0.0 Bohr magnetons per cell
* ΔH_f (0 K): -0.0136 eV per atom
* crystal system: tetragonal

5.
Computed, not measured: a relaxed Rb2NaYF6 crystal at the GGA-PBEsol level of DFT.

The structure in extended XYZ format:
```
10
Lattice="6.235 0.000 0.000 3.118 5.400 0.000 3.118 1.800 5.091" Properties=species:S:1:pos:R:3 pbc="T T T"
Y 0.000 0.000 0.000
Na 6.235 3.600 2.546
F 7.832 4.522 1.242
F 4.639 2.678 3.849
F 6.235 5.443 3.849
Rb 3.118 1.800 1.273
F 7.832 2.678 3.849
F 4.639 4.522 1.242
Rb 9.353 5.400 3.818
F 6.235 1.756 1.242
```

* E_form (uncorrected): -3.340 eV/atom
* space group: Fm-3m
* M_tot: 0.0 Bohr magnetons per cell
* crystal system: cubic

6.
Computed, not measured: a relaxed MgTi2BBr crystal at the GGA-PBEsol level of DFT.

The structure in extended XYZ format:
```
5
Lattice="4.568 0.000 0.000 0.000 4.568 0.000 0.000 0.000 4.704" Properties=species:S:1:pos:R:3 pbc="T T T"
Br 0.000 0.000 0.000
Ti 2.284 0.000 0.000
Mg 0.000 0.000 2.352
Ti 0.000 2.284 0.000
B 2.284 2.284 2.352
```

* E_form (uncorrected): 1.281 eV/atom
* space group: P4/mmm
* M_tot: 0.0 Bohr magnetons per cell
* crystal system: tetragonal

7.
Computed, not measured: a relaxed Hg2AsW crystal at the GGA-PBEsol level of DFT.

The structure in extended XYZ format:
```
4
Lattice="3.909 0.000 0.000 0.000 3.909 0.000 0.000 0.000 4.805" Properties=species:S:1:pos:R:3 pbc="T T T"
As 0.000 0.000 2.402
Hg 0.000 1.955 0.000
W 1.955 1.955 2.402
Hg 1.955 0.000 0.000
```

* space group: P4/mmm
* M_tot: 0.1 Bohr magnetons per cell
* ΔH_f (0 K): 0.8099 eV per atom
* crystal system: tetragonal

8.
Computed, not measured: a relaxed Si2WCl crystal at the GGA-PBEsol level of DFT.

The structure in extended XYZ format:
```
4
Lattice="-1.795 -2.787 -0.530 2.687 -1.130 -3.164 1.844 -0.021 4.498" Properties=species:S:1:pos:R:3 pbc="T T T"
Cl 1.343 -0.565 -1.582
Si 1.585 -2.943 -0.528
Si 1.150 -0.994 1.332
W -0.898 -1.393 -0.265
```

* E_form (uncorrected): 0.591 eV/atom
* space group: Immm
* M_tot: 0.0 Bohr magnetons per cell
* crystal system: orthorhombic